The following is a PBE calculation of a geometry-optimized LaPuInGa structure, from Alexandria. Values from VASP.

Values from the calculation:
Final energy = -6.550 eV/atom
SG = F-43m, No. 216

The structure in Quantum ESPRESSO input format:
```
&SYSTEM
  ibrav = 0, nat = 4, ntyp = 4
/
ATOMIC_SPECIES
In 114.82 In.upf
Pu 244.00 Pu.upf
La 138.91 La.upf
Ga 69.72 Ga.upf
ATOMIC_POSITIONS angstrom
In 8.054 4.650 3.288
Pu 5.369 3.100 2.192
La 0.000 0.000 0.000
Ga 2.685 1.550 1.096
CELL_PARAMETERS angstrom
5.369 0.000 0.000
2.685 4.650 0.000
2.685 1.550 4.384
```